ZrCrTe3 (PBE, relaxed); energy above the lowest structure with this stoichiometry = 3.934 eV per formula unit; total DFT energy (no corrections) = -26.0 eV/cell; N(E_F) = 3.7 states/eV/cell; raw formation energy = 0.32 eV per atom; symmetry = Pm-3m
1.0
5.156 0.000 0.000
0.000 5.156 0.000
0.000 0.000 5.156
Zr Cr Te
1 1 3
direct
0.000 0.000 0.000
0.500 0.500 0.500
0.000 0.500 0.500
0.500 0.000 0.500
0.500 0.500 0.000

TmTl2Pb5 (PBE, relaxed); total DFT energy (no corrections) = -28.2 eV/cell; N(E_F) = 3.0 states/eV/cell; E_form = -0.063 eV/atom; symmetry = I4/mmm
1.0
-4.002 4.002 3.745
4.002 -4.002 3.745
4.002 4.002 -3.745
Tm Tl Pb
1 2 5
direct
0.000 0.000 0.000
0.000 0.500 0.500
0.500 0.000 0.500
0.000 0.000 0.500
0.000 0.500 0.000
0.500 0.000 0.000
0.500 0.500 0.000
0.500 0.500 0.500

Ba2Cd2In (PBE, relaxed); energy above the lowest structure with this stoichiometry = 0.973 eV per formula unit; total DFT energy (no corrections) = -9.2 eV/cell; N(E_F) = 4.9 states/eV/cell; E_form = -0.155 eV/atom; symmetry = I4/mmm
1.0
-3.386 3.386 4.372
3.386 -3.386 4.372
3.386 3.386 -4.372
Ba Cd In
2 2 1
direct
0.250 0.750 0.500
0.750 0.250 0.500
0.157 0.157 0.000
0.843 0.843 0.000
0.500 0.500 0.000

Tb6NdSm2Mg (PBE, relaxed); total DFT energy (no corrections) = -85.0 eV/cell; N(E_F) = 30.1 states/eV/cell; E_form = 0.108 eV/atom; symmetry = C2/c
1.0
5.007 -9.792 0.000
5.007 9.792 0.000
-1.067 0.000 6.583
Tb Nd Sm Mg
12 2 4 2
direct
0.085 0.565 0.280
0.085 0.792 0.969
0.208 0.915 0.531
0.300 0.475 0.019
0.435 0.915 0.220
0.475 0.300 0.519
0.525 0.700 0.481
0.565 0.085 0.780
0.700 0.525 0.981
0.792 0.085 0.469
0.915 0.208 0.031
0.915 0.435 0.720
0.008 0.992 0.250
0.992 0.008 0.750
0.184 0.349 0.502
0.349 0.184 0.002
0.651 0.816 0.998
0.816 0.651 0.498
0.293 0.707 0.750
0.707 0.293 0.250

HoPdPt3 (PBE, relaxed); energy above the lowest structure with this stoichiometry = 0.000 eV per formula unit; total DFT energy (no corrections) = -61.5 eV/cell; N(E_F) = 15.3 states/eV/cell; E_form = -0.569 eV/atom; symmetry = Pmmn
1.0
4.407 0.000 0.000
0.000 6.502 0.000
0.000 0.000 6.387
Ho Pd Pt
2 2 6
direct
0.250 0.250 0.249
0.750 0.750 0.751
0.250 0.750 0.455
0.750 0.250 0.545
0.250 0.051 0.755
0.250 0.449 0.755
0.250 0.750 0.048
0.750 0.250 0.952
0.750 0.551 0.245
0.750 0.949 0.245

Tl2Au4I5 (PBE, relaxed); total DFT energy (no corrections) = -26.8 eV/cell; N(E_F) = 1.5 states/eV/cell; raw formation energy = -0.11 eV per atom; symmetry = C2/m
1.0
5.227 -4.714 0.000
5.227 4.714 0.000
-0.668 0.000 8.256
Tl Au I
2 4 5
direct
0.178 0.178 0.088
0.822 0.822 0.912
0.294 0.294 0.595
0.440 0.440 0.335
0.560 0.560 0.665
0.706 0.706 0.405
0.068 0.645 0.287
0.355 0.932 0.713
0.500 0.500 0.000
0.645 0.068 0.287
0.932 0.355 0.713

| no. | spin magnetization (μB/cell) |
| --- | --- |
| 1 | 4.1 |
| 2 | 0.0 |
| 3 | 0.0 |
| 4 | 0.0 |
| 5 | 0.0 |
| 6 | 0.0 |